Entry 1:
VASP calculation (PBE) on an optimized crystal structure of RbPtW2.

a b c (Å): 6.576 6.576 6.576
angles (deg): 90.00 90.00 90.00
Space group Fm-3m (No. 225)
One atom of each set of equivalent atoms:
1 Rb 0.000 0.000 0.000 (multiplicity 4)
2 Pt 0.000 0.000 0.500 (multiplicity 4)
3 W 0.250 0.250 0.250 (multiplicity 8)

Output
- Magnetization: 0.0 μB per cell
- Energy relative to the lowest polymorph listed for this composition: 0.208 eV/atom
- Energy of formation from the pure elements: 1.80 eV/atom

---

Entry 2:
VASP calculation (PBE) on an optimized crystal structure of CdCo3S.

a b c (Å): 4.723 4.723 4.723
angles (deg): 90.00 90.00 90.00
Space group Pm-3m (No. 221)
One atom of each set of equivalent atoms:
1 Cd 0.000 0.000 0.000 (multiplicity 1)
2 Co 0.000 0.000 0.500 (multiplicity 3)
3 S 0.500 0.500 0.500 (multiplicity 1)

Output
- E_form (uncorrected): 171.8 kJ/mol of atoms
- Magnetization: 5.3 μB per cell
- Energy relative to the lowest polymorph listed for this composition: 1.660 eV/atom

---

Entry 3:
VASP calculation (PBE) on an optimized crystal structure of GaAg2Bi.

a b c (Å): 4.445 4.445 4.374
angles (deg): 90.00 90.00 90.00
Space group P4/mmm (No. 123)
One atom of each set of equivalent atoms:
1 Ga 0.000 0.000 0.000 (multiplicity 1)
2 Ag 0.000 0.500 0.500 (multiplicity 2)
3 Bi 0.500 0.500 0.000 (multiplicity 1)

Output
- Magnetization: 0.0 μB per cell
- Energy relative to the lowest polymorph listed for this composition: 0.035 eV/atom
- Energy of formation from the pure elements: 0.11 eV/atom

---

Entry 4:
VASP calculation (PBE) on an optimized crystal structure of Rb3LiNp3Te8.

a b c (Å): 15.585 8.968 10.050
angles (deg): 90.00 121.18 90.00
Space group C2/m (No. 12)
One atom of each set of equivalent atoms:
1 Rb 0.000 0.000 0.000 (multiplicity 2)
2 Rb 0.250 0.250 0.000 (multiplicity 4)
3 Li 0.000 0.000 0.500 (multiplicity 2)
4 Np 0.000 0.500 0.500 (multiplicity 2)
5 Np 0.250 0.250 0.500 (multiplicity 4)
6 Te 0.022 0.256 0.308 (multiplicity 8)
7 Te 0.234 0.500 0.701 (multiplicity 4)
8 Te 0.238 0.000 0.693 (multiplicity 4)

Output
- E_form (uncorrected): -75.1 kJ/mol of atoms
- Magnetization: 5.7 μB per cell

---

Entry 5:
VASP calculation (PBE) on an optimized crystal structure of CeCrS3.

a b c (Å): 7.475 6.041 9.026
angles (deg): 90.00 98.37 90.00
Space group P2_1/c (No. 14)
One atom of each set of equivalent atoms:
1 Ce 0.162 0.243 0.168 (multiplicity 4)
2 Cr 0.410 0.743 0.576 (multiplicity 4)
3 S 0.093 0.710 0.114 (multiplicity 4)
4 S 0.309 0.071 0.935 (multiplicity 4)
5 S 0.444 0.576 0.831 (multiplicity 4)

Output
- E_form (uncorrected): -124.6 kJ/mol of atoms
- Magnetization: 16.1 μB per cell
- Energy relative to the lowest polymorph listed for this composition: 0.074 eV/atom

---

Entry 6:
VASP calculation (PBE) on an optimized crystal structure of SmGa12Ir7.

a b c (Å): 9.205 9.205 9.205
angles (deg): 90.00 90.00 90.00
Space group Im-3 (No. 204)
One atom of each set of equivalent atoms:
1 Sm 0.000 0.000 0.000 (multiplicity 2)
2 Ga 0.000 0.336 0.220 (multiplicity 24)
3 Ir 0.000 0.000 0.500 (multiplicity 6)
4 Ir 0.250 0.250 0.250 (multiplicity 8)

Output
- Magnetization: 0.0 μB per cell
- Energy of formation from the pure elements: -0.08 eV/atom

---

> Which of these has the highest magnetization?

CeCrS3